{
  "formula": "TbDy3Y4S8",
  "functional": "PBE-GGA",
  "state": "relaxed",
  "lattice_angstrom": [[3.9153, 2.2605, 6.3940], [-3.9153, 2.2605, 6.3940], [0.0000, -4.5210, 6.3940]],
  "species": ["Tb", "Dy", "Dy", "Dy", "Y", "Y", "Y", "Y", "S", "S", "S", "S", "S", "S", "S", "S"],
  "fractional_positions": [[0.0000, 0.0000, 0.0000], [0.0000, 0.5000, 0.5000], [0.5000, 0.0000, 0.5000], [0.5000, 0.5000, 0.0000], [0.0000, 0.0000, 0.5000], [0.0000, 0.5000, 0.0000], [0.5000, 0.0000, 0.0000], [0.5000, 0.5000, 0.5000], [0.2504, 0.2504, 0.2504], [0.2503, 0.2503, 0.7488], [0.2503, 0.7488, 0.2503], [0.2512, 0.7497, 0.7497], [0.7488, 0.2503, 0.2503], [0.7497, 0.2512, 0.7497], [0.7497, 0.7497, 0.2512], [0.7496, 0.7496, 0.7496]],
  "total_energy_ev_per_fu": -109.19,
  "total_magnetization_mub_per_fu": 0.00
}